Here is crystalline Pm3MoBr2O6 at its relaxed geometry from the Alexandria database. Energies are from PBE with a Hubbard U.

Output
The calculation puts the total energy at -6.74 eV per atom. For the total magnetization, the calculation gives 1.0 μB per formula unit.

Cell: 11.7774 6.7612 5.8495 Å, 90.00 101.26 90.00°
Space group C2/m (No. 12)
One atom of each set of equivalent atoms:
Pm1 0.0000 0.0000 0.0000 (multiplicity 2)
Pm2 0.2500 0.2500 0.5000 (multiplicity 4)
Mo1 0.0000 0.5000 0.5000 (multiplicity 2)
Br1 0.2233 0.0000 0.8802 (multiplicity 4)
O1 0.0561 0.2623 0.3040 (multiplicity 8)
O2 0.1616 0.5000 0.6565 (multiplicity 4)